No. 1
NbIrO2, optimized geometry, DFT GGA-PBE; ΔE_f (raw) = -890 meV/atom; polymorph energy (0 for the lowest one) = 394 meV per atom; SG = No. 122; Fermi-level density of states = 0.4319 states/eV/atom
1.0
3.904 0.000 0.000
0.000 3.904 0.000
0.000 0.000 13.129
Nb Ir O
4 4 8
Direct
0.000 0.000 0.000
0.000 0.500 0.250
0.500 0.000 0.750
0.500 0.500 0.500
0.000 0.000 0.500
0.000 0.500 0.750
0.500 0.000 0.250
0.500 0.500 0.000
0.232 0.250 0.125
0.250 0.732 0.375
0.250 0.768 0.875
0.268 0.250 0.625
0.732 0.750 0.625
0.750 0.232 0.875
0.750 0.268 0.375
0.768 0.750 0.125

No. 2
NbIrO2, optimized geometry, DFT GGA-PBE; ΔE_f (raw) = -151 meV/atom; polymorph energy (0 for the lowest one) = 1133 meV per atom; SG = No. 225; Fermi-level density of states = 1.2509 states/eV/atom
1.0
5.654 0.000 0.000
0.000 5.654 0.000
0.000 0.000 5.654
Nb Ir O
4 4 8
Direct
0.000 0.000 0.000
0.000 0.500 0.500
0.500 0.000 0.500
0.500 0.500 0.000
0.000 0.000 0.500
0.000 0.500 0.000
0.500 0.000 0.000
0.500 0.500 0.500
0.250 0.250 0.250
0.250 0.250 0.750
0.250 0.750 0.250
0.250 0.750 0.750
0.750 0.250 0.250
0.750 0.250 0.750
0.750 0.750 0.250
0.750 0.750 0.750

No. 3
NbIr2O, optimized geometry, DFT GGA-PBE; ΔE_f (raw) = 206 meV/atom; SG = No. 122; Fermi-level density of states = 0.6444 states/eV/atom
1.0
4.795 0.000 0.000
0.000 4.795 0.000
0.000 0.000 11.927
Nb Ir O
4 8 4
Direct
0.000 0.000 0.000
0.000 0.500 0.250
0.500 0.000 0.750
0.500 0.500 0.500
0.142 0.250 0.625
0.250 0.642 0.875
0.250 0.858 0.375
0.358 0.250 0.125
0.642 0.750 0.125
0.750 0.142 0.375
0.750 0.358 0.875
0.858 0.750 0.625
0.000 0.000 0.500
0.000 0.500 0.750
0.500 0.000 0.250
0.500 0.500 0.000

No. 4
NbIrO, optimized geometry, DFT GGA-PBE; ΔE_f (raw) = -722 meV/atom; SG = No. 71; Fermi-level density of states = 0.7175 states/eV/atom
1.0
2.839 0.000 0.000
0.000 4.498 0.000
0.000 0.000 14.123
Nb Ir O
4 4 4
Direct
0.000 0.000 0.107
0.000 0.000 0.893
0.500 0.500 0.393
0.500 0.500 0.607
0.000 0.000 0.292
0.000 0.000 0.708
0.500 0.500 0.208
0.500 0.500 0.792
0.000 0.265 0.000
0.000 0.735 0.000
0.500 0.235 0.500
0.500 0.765 0.500

No. 5
NbIrO3, optimized geometry, DFT GGA-PBE; ΔE_f (raw) = -726 meV/atom; SG = No. 221; Fermi-level density of states = 0.6943 states/eV/atom
1.0
3.984 0.000 0.000
0.000 3.984 0.000
0.000 0.000 3.984
Nb Ir O
1 1 3
Direct
0.000 0.000 0.000
0.500 0.500 0.500
0.000 0.000 0.500
0.000 0.500 0.000
0.500 0.000 0.000

No. 6
NbIrO3, optimized geometry, DFT GGA-PBE; ΔE_f (raw) = -107 meV/atom; SG = No. 221; Fermi-level density of states = 0.9151 states/eV/atom
1.0
3.914 0.000 0.000
0.000 3.914 0.000
0.000 0.000 3.914
Nb Ir O
1 1 3
Direct
0.000 0.000 0.000
0.500 0.500 0.500
0.000 0.500 0.500
0.500 0.000 0.500
0.500 0.500 0.000

Among the records above, which one has the highest ΔE_f (raw)?
NbIr2O

What is the formula in the fourth record?
NbIrO

What is the formula in the sixth record?
NbIrO3